Density functional theory data (GGA+U) for Li2CaCoO4 after structural relaxation.

energy	-5.63	eV/atom
space group	No. 121

POSCAR file:
```
Li2CaCoO4
1.0
-2.5937 2.5937 3.3657
2.5937 -2.5937 3.3657
2.5937 2.5937 -3.3657
Li Ca Co O
2 1 1 4
Direct
0.2500 0.7500 0.5000 Li
0.7500 0.2500 0.5000 Li
0.0000 0.0000 0.0000 Ca
0.5000 0.5000 0.0000 Co
0.1465 0.1465 0.5881 O
0.4416 0.8535 0.0000 O
0.5584 0.5584 0.4119 O
0.8535 0.4416 0.0000 O
```